Here is an optimized crystal structure of Al5Fe from the Alexandria database. Energies are from PBE-GGA.

Output
Its raw total energy is -0.341 Ry per atom. The energy of formation is -111 meV/atom. As for the density of states at the Fermi level: 3.4 states/eV per cell. The total magnetization is 0.0 Bohr magnetons per cell.

Lattice parameters (Å, degrees): 2.8039 2.8039 11.5258 90.00 90.00 90.00
With the nearest neighbours (Å) after each atom.
Space group P4/mmm (No. 123)
Symmetry-distinct sites (fractional):
Al 0.0000 0.0000 0.0000 x1  12 Al 2.80-2.93
Al 0.0000 0.0000 0.3746 x2  4 Fe 2.45
Al 0.5000 0.5000 0.1874 x2  12 Al 2.80-2.93
Fe 0.5000 0.5000 0.5000 x1  8 Al 2.45